(1)
The following is a DFT calculation (SCAN) of a PBEsol-optimized structure of CrBr2Cl.

Cell: 3.4682 3.7359 9.2878 Å, 90.00 90.00 117.66°
With the nearest neighbours (Å) after each atom.
Atoms (fractional coordinates):
1 Br 0.0000 0.0000 0.1846  2 Cr 2.44
2 Cr 0.5000 0.0000 0.0000  4 Br 2.44
3 Br 0.0000 0.0000 0.8154  2 Cr 2.44
4 Cl 0.5000 0.0000 0.5000  4 Br 3.40, 6 Cl 3.47-3.74

Calculated values
DFT total energy ... -16.75 eV/atom
ΔE_f (raw) ... -0.431 eV per atom
Energy relative to the lowest polymorph listed for this composition ... 0.0 kJ/mol of atoms

---

(2)
The following is a DFT calculation (SCAN) of a PBEsol-optimized structure of ZrWCl2.

Cell: 2.8669 4.3501 5.6228 Å, 90.00 90.00 90.00°
With the nearest neighbours (Å) after each atom.
Atoms (fractional coordinates):
1 W 0.5000 0.5000 0.0000  4 Cl 2.60, 2 W 2.87
2 Cl 0.5000 0.0000 0.5000  4 Zr 2.60, 2 Cl 2.87
3 Zr 0.0000 0.5000 0.5000  4 Cl 2.60, 2 Zr 2.87
4 Cl 0.0000 0.0000 0.0000  4 W 2.60, 2 Cl 2.87

Calculated values
DFT total energy ... -28.99 eV/atom
ΔE_f (raw) ... 0.096 eV per atom
Energy relative to the lowest polymorph listed for this composition ... 0.0 kJ/mol of atoms

---

(3)
The following is a DFT calculation (SCAN) of a PBEsol-optimized structure of CaTl2Co.

Cell: 3.3203 3.3203 7.5120 Å, 90.00 90.00 90.00°
With the nearest neighbours (Å) after each atom.
Atoms (fractional coordinates):
1 Tl 0.0000 0.0000 0.7021  4 Co 2.80, 1 Tl 3.04
2 Co 0.5000 0.5000 0.5000  8 Tl 2.80
3 Tl 0.0000 0.0000 0.2979  4 Co 2.80, 1 Tl 3.04
4 Ca 0.5000 0.5000 0.0000  8 Tl 3.24, 4 Ca 3.32

Calculated values
DFT total energy ... -42.84 eV/atom
Energy of formation ... 86 meV/atom

---

(4)
The following is a DFT calculation (SCAN) of a PBEsol-optimized structure of GeSbN2.

Cell: 3.1455 3.1455 6.8582 Å, 76.74 76.74 60.00°
With the nearest neighbours (Å) after each atom.
Atoms (fractional coordinates):
1 N 0.1104 0.1104 0.6688  3 Sb 2.13, 1 Ge 2.19
2 Sb 0.5000 0.5000 0.5000  6 N 2.13
3 N 0.8896 0.8896 0.3312  3 Sb 2.13, 1 Ge 2.19
4 Ge 0.0000 0.0000 0.0000  2 N 2.19

Calculated values
DFT total energy ... -18.19 eV/atom
ΔE_f (raw) ... 0.547 eV per atom

---

(5)
The following is a DFT calculation (SCAN) of a PBEsol-optimized structure of CaBeSiMo2.

Cell: 4.2655 4.6053 4.6053 Å, 90.00 90.00 90.00°
With the nearest neighbours (Å) after each atom.
Atoms (fractional coordinates):
1 Mo 0.0000 0.0000 0.5000  2 Si 2.30
2 Be 0.5000 0.0000 0.0000  2 Si 2.13
3 Ca 0.5000 0.5000 0.5000  8 Mo 3.14, 4 Be 3.26
4 Si 0.0000 0.0000 0.0000  2 Be 2.13, 4 Mo 2.30
5 Mo 0.0000 0.5000 0.0000  2 Si 2.30

Calculated values
DFT total energy ... -17.96 eV/atom
ΔE_f (raw) ... 0.796 eV per atom

---

(6)
The following is a DFT calculation (SCAN) of a PBEsol-optimized structure of BeNi2Pt.

Cell: 3.4602 3.4602 4.4377 Å, 112.95 112.95 90.00°
With the nearest neighbours (Å) after each atom.
Atoms (fractional coordinates):
1 Pt 0.5000 0.5000 0.0000  4 Be 2.45, 8 Ni 2.53
2 Be 0.0000 0.0000 0.0000  4 Pt 2.45, 8 Ni 2.53
3 Ni 0.7500 0.2500 0.5000  4 Ni 2.45, 4 Be 2.53, 4 Pt 2.53
4 Ni 0.2500 0.7500 0.5000  4 Ni 2.45, 4 Be 2.53, 4 Pt 2.53

Calculated values
DFT total energy ... -27.03 eV/atom
Energy of formation ... -307 meV/atom

---

(7)
The following is a DFT calculation (SCAN) of a PBEsol-optimized structure of Zn2Ni3Sb.

Cell: 4.1580 4.1580 5.1278 Å, 90.00 90.00 120.00°
With the nearest neighbours (Å) after each atom.
Atoms (fractional coordinates):
1 Zn 0.3333 0.6667 0.6398  8 Ni 2.45-2.67
2 Ni 0.3333 0.6667 0.1612  5 Zn 2.45-2.67, 3 Sb 2.54
3 Ni 0.6667 0.3333 0.8388  5 Zn 2.45-2.67, 3 Sb 2.54
4 Sb 0.0000 0.0000 0.0000  8 Ni 2.54-2.56
5 Ni 0.0000 0.0000 0.5000  6 Zn 2.51, 2 Sb 2.56
6 Zn 0.6667 0.3333 0.3602  8 Ni 2.45-2.67

Calculated values
DFT total energy ... -18.95 eV/atom
ΔE_f (raw) ... -0.145 eV per atom

---

(8)
The following is a DFT calculation (SCAN) of a PBEsol-optimized structure of Sb2Au.

Cell: 3.0432 4.0907 6.3549 Å, 108.78 90.00 90.00°
With the nearest neighbours (Å) after each atom.
Atoms (fractional coordinates):
1 Au 0.5000 0.0000 0.0000  4 Sb 2.73, 2 Au 3.04
2 Sb 0.5000 0.6507 0.3014  2 Au 2.73, 2 Sb 3.04
3 Sb 0.5000 0.3493 0.6986  2 Au 2.73, 2 Sb 3.04

Calculated values
DFT total energy ... -47.99 eV/atom
ΔE_f (raw) ... -0.101 eV per atom

---

(9)
The following is a DFT calculation (SCAN) of a PBEsol-optimized structure of Sr2CaSi2.

Cell: 4.6556 7.8634 7.8634 Å, 90.00 90.00 90.00°
With the nearest neighbours (Å) after each atom.
Atoms (fractional coordinates):
1 Sr 0.5000 0.3234 0.1766  6 Si 3.27-3.34
2 Si 0.0000 0.3920 0.8920  1 Si 2.40
3 Si 0.0000 0.1080 0.3920  1 Si 2.40
4 Si 0.0000 0.8920 0.6080  1 Si 2.40
5 Si 0.0000 0.6080 0.1080  1 Si 2.40
6 Sr 0.5000 0.1766 0.6766  6 Si 3.27-3.34
7 Sr 0.5000 0.6766 0.8234  6 Si 3.27-3.34
8 Ca 0.0000 0.0000 0.0000  4 Si 3.20
9 Sr 0.5000 0.8234 0.3234  6 Si 3.27-3.34
10 Ca 0.0000 0.5000 0.5000  4 Si 3.20

Calculated values
DFT total energy ... -15.27 eV/atom
ΔE_f (raw) ... -0.417 eV per atom

---

(10)
The following is a DFT calculation (SCAN) of a PBEsol-optimized structure of Ba2TaCoSe.

Cell: 4.7660 6.1365 6.1365 Å, 90.00 90.00 90.00°
With the nearest neighbours (Å) after each atom.
Atoms (fractional coordinates):
1 Co 0.5000 0.5000 0.5000  8 Ba 3.88, 4 Ta 4.34
2 Ba 0.0000 0.0000 0.5000  2 Se 3.07
3 Ba 0.0000 0.5000 0.0000  2 Se 3.07
4 Se 0.0000 0.0000 0.0000  2 Ta 2.38
5 Ta 0.5000 0.0000 0.0000  2 Se 2.38

Calculated values
DFT total energy ... -36.19 eV/atom
ΔE_f (raw) ... 0.420 eV per atom

---

(11)
The following is a DFT calculation (SCAN) of a PBEsol-optimized structure of CaY4Au.

Cell: 6.2934 6.2934 6.2934 Å, 60.00 60.00 60.00°
With the nearest neighbours (Å) after each atom.
Atoms (fractional coordinates):
1 Ca 0.0000 0.0000 0.0000  12 Y 3.69, 4 Au 3.85
2 Y 0.3759 0.3759 0.8722  6 Y 3.12-3.17
3 Au 0.7500 0.7500 0.7500  12 Y 3.69, 4 Ca 3.85
4 Y 0.8722 0.3759 0.3759  6 Y 3.12-3.17
5 Y 0.3759 0.8722 0.3759  6 Y 3.12-3.17
6 Y 0.3759 0.3759 0.3759  6 Y 3.12-3.17

Calculated values
DFT total energy ... -31.39 eV/atom
Energy of formation ... 306 meV/atom

---

(12)
The following is a DFT calculation (SCAN) of a PBEsol-optimized structure of NaFeP2O.

Cell: 3.3590 4.7217 4.7217 Å, 90.00 90.00 90.00°
With the nearest neighbours (Å) after each atom.
Atoms (fractional coordinates):
1 P 0.0000 0.5000 0.0000  2 Fe 2.36
2 P 0.0000 0.0000 0.5000  2 Fe 2.36
3 O 0.5000 0.0000 0.0000  2 Fe 1.68
4 Na 0.5000 0.5000 0.5000  8 P 2.90
5 Fe 0.0000 0.0000 0.0000  2 O 1.68

Calculated values
DFT total energy ... -9.96 eV/atom
ΔE_f (raw) ... -0.089 eV per atom
Energy relative to the lowest polymorph listed for this composition ... 0.0 kJ/mol of atoms

---

(13)
The following is a DFT calculation (SCAN) of a PBEsol-optimized structure of SbSeCl3.

Cell: 5.2160 5.2160 5.2160 Å, 90.00 90.00 90.00°
With the nearest neighbours (Å) after each atom.
Atoms (fractional coordinates):
1 Sb 0.0000 0.0000 0.0000  6 Cl 2.61
2 Se 0.5000 0.5000 0.5000  12 Cl 3.69
3 Cl 0.0000 0.5000 0.0000  2 Sb 2.61
4 Cl 0.0000 0.0000 0.5000  2 Sb 2.61
5 Cl 0.5000 0.0000 0.0000  2 Sb 2.61

Calculated values
DFT total energy ... -16.37 eV/atom
ΔE_f (raw) ... -0.118 eV per atom

---

(14)
The following is a DFT calculation (SCAN) of a PBEsol-optimized structure of NbCoSb3.

Cell: 4.8295 4.8295 4.8295 Å, 90.00 90.00 90.00°
With the nearest neighbours (Å) after each atom.
Atoms (fractional coordinates):
1 Sb 0.5000 0.0000 0.0000  2 Co 2.41
2 Co 0.0000 0.0000 0.0000  6 Sb 2.41
3 Nb 0.5000 0.5000 0.5000  12 Sb 3.41
4 Sb 0.0000 0.5000 0.0000  2 Co 2.41
5 Sb 0.0000 0.0000 0.5000  2 Co 2.41

Calculated values
DFT total energy ... -31.70 eV/atom
ΔE_f (raw) ... 0.745 eV per atom

---

(15)
The following is a DFT calculation (SCAN) of a PBEsol-optimized structure of Ba2ZnAu2.

Cell: 3.9270 3.9270 9.8272 Å, 101.53 101.53 90.00°
With the nearest neighbours (Å) after each atom.
Atoms (fractional coordinates):
1 Ba 0.6081 0.6081 0.2162  4 Au 3.32, 4 Zn 3.44
2 Zn 0.0000 0.0000 0.0000  8 Ba 3.44
3 Au 0.2500 0.7500 0.5000  4 Au 2.78
4 Au 0.7500 0.2500 0.5000  4 Au 2.78
5 Ba 0.3919 0.3919 0.7838  4 Au 3.32, 4 Zn 3.44

Calculated values
DFT total energy ... -46.57 eV/atom
Energy of formation ... -385 meV/atom

---

(16)
The following is a DFT calculation (SCAN) of a PBEsol-optimized structure of LiInAg2.

Cell: 3.3954 3.3954 6.0110 Å, 90.00 90.00 90.00°
With the nearest neighbours (Å) after each atom.
Atoms (fractional coordinates):
1 Ag 0.5000 0.5000 0.2402  1 Li 2.83, 4 Ag 2.84, 4 In 2.87
2 In 0.0000 0.0000 0.5030  6 Ag 2.87-3.10, 4 Li 2.89
3 Li 0.5000 0.5000 0.7700  5 Ag 2.73-2.83, 4 In 2.89
4 Ag 0.0000 0.0000 0.9868  4 Li 2.73, 4 Ag 2.84, 1 In 2.91

Calculated values
DFT total energy ... -24.80 eV/atom
Energy of formation ... -169 meV/atom

---

(17)
The following is a DFT calculation (SCAN) of a PBEsol-optimized structure of La2AsPt.

Cell: 3.6762 3.6756 7.1253 Å, 90.00 90.22 90.00°
With the nearest neighbours (Å) after each atom.
Atoms (fractional coordinates):
1 Pt 0.5000 0.5000 0.0000  8 La 3.15
2 As 0.5000 0.5000 0.5000  8 La 3.15-3.16
3 La 0.0008 0.0000 0.2498  4 As 3.15-3.16, 4 Pt 3.15
4 La 0.9992 0.0000 0.7503  4 As 3.15-3.16, 4 Pt 3.15

Calculated values
DFT total energy ... -45.45 eV/atom
Energy of formation ... -1304 meV/atom

---

(18)
The following is a DFT calculation (SCAN) of a PBEsol-optimized structure of NbSb2PdI.

Cell: 5.0743 5.0743 5.2846 Å, 90.00 90.00 90.00°
With the nearest neighbours (Å) after each atom.
Atoms (fractional coordinates):
1 I 0.0000 0.0000 0.5000  2 Pd 2.64
2 Sb 0.5000 0.0000 0.0000  2 Pd 2.54
3 Sb 0.0000 0.5000 0.0000  2 Pd 2.54
4 Pd 0.0000 0.0000 0.0000  4 Sb 2.54, 2 I 2.64
5 Nb 0.5000 0.5000 0.5000  4 I 3.59, 8 Sb 3.66

Calculated values
DFT total energy ... -34.62 eV/atom
ΔE_f (raw) ... 0.818 eV per atom
Energy relative to the lowest polymorph listed for this composition ... 7.5 kJ/mol of atoms

---

(19)
The following is a DFT calculation (SCAN) of a PBEsol-optimized structure of SbTeIr2.

Cell: 3.6729 3.6729 5.6185 Å, 90.00 90.00 90.00°
With the nearest neighbours (Å) after each atom.
Atoms (fractional coordinates):
1 Sb 0.0000 0.0000 0.4292  5 Ir 2.65-2.72
2 Ir 0.0000 0.0000 0.9578  1 Sb 2.65, 4 Te 2.70
3 Te 0.5000 0.5000 0.8288  5 Ir 2.56-2.70
4 Ir 0.5000 0.5000 0.2842  1 Te 2.56, 4 Sb 2.72

Calculated values
DFT total energy ... -54.08 eV/atom
ΔE_f (raw) ... 0.102 eV per atom
Energy relative to the lowest polymorph listed for this composition ... 5.9 kJ/mol of atoms

---

(20)
The following is a DFT calculation (SCAN) of a PBEsol-optimized structure of TmAl7Au3.

Cell: 7.9816 7.9816 8.3503 Å, 61.45 61.45 60.00°
With the nearest neighbours (Å) after each atom.
Atoms (fractional coordinates):
1 Tm 0.5000 0.5000 0.5000  6 Au 3.21, 12 Al 3.28-3.32
2 Al 0.8342 0.6472 0.0895  3 Au 2.56-2.64, 5 Al 2.80-2.87
3 Al 0.1472 0.3342 0.5895  3 Au 2.56-2.64, 5 Al 2.80-2.87
4 Au 0.4247 0.0753 0.7500  7 Al 2.56-2.64
5 Al 0.2500 0.2500 0.2500  3 Au 2.60, 6 Al 2.87
6 Al 0.6472 0.4290 0.0895  3 Au 2.56-2.64, 5 Al 2.80-2.87
7 Al 0.9290 0.1472 0.5895  3 Au 2.56-2.64, 5 Al 2.80-2.87
8 Tm 0.0000 0.0000 0.0000  6 Au 3.21, 12 Al 3.28-3.32
9 Au 0.7500 0.4247 0.7500  7 Al 2.56-2.64
10 Al 0.6658 0.0710 0.4105  3 Au 2.56-2.64, 5 Al 2.80-2.87
11 Au 0.0753 0.7500 0.7500  7 Al 2.56-2.64
12 Al 0.5710 0.1658 0.9105  3 Au 2.56-2.64, 5 Al 2.80-2.87
13 Au 0.5753 0.9247 0.2500  7 Al 2.56-2.64
14 Al 0.1658 0.3528 0.9105  3 Au 2.56-2.64, 5 Al 2.80-2.87
15 Au 0.9247 0.2500 0.2500  7 Al 2.56-2.64
16 Al 0.3528 0.5710 0.9105  3 Au 2.56-2.64, 5 Al 2.80-2.87
17 Al 0.7500 0.7500 0.7500  3 Au 2.60, 6 Al 2.87
18 Al 0.8528 0.6658 0.4105  3 Au 2.56-2.64, 5 Al 2.80-2.87
19 Al 0.0710 0.8528 0.4105  3 Au 2.56-2.64, 5 Al 2.80-2.87
20 Al 0.3342 0.9290 0.5895  3 Au 2.56-2.64, 5 Al 2.80-2.87
21 Al 0.4290 0.8342 0.0895  3 Au 2.56-2.64, 5 Al 2.80-2.87
22 Au 0.2500 0.5753 0.2500  7 Al 2.56-2.64

Calculated values
DFT total energy ... -29.23 eV/atom
Energy of formation ... -719 meV/atom